# Y2CrCd (PBE, optimized geometry)
data_Y2CrCd
_chemical_formula_sum 'Y8 Cr4 Cd4'
_symmetry_space_group_name_H-M 'C 1 m 1'
_symmetry_Int_Tables_number 8
_cell_length_a 11.4895
_cell_length_b 3.6877
_cell_length_c 10.1840
_cell_angle_alpha 90.00
_cell_angle_beta 113.79
_cell_angle_gamma 90.00
loop_
_symmetry_equiv_pos_as_xyz
'x,y,z'
'x,-y,z'
'x+1/2,y+1/2,z'
'x+1/2,-y+1/2,z'
loop_
_atom_site_label
_atom_site_fract_x
_atom_site_fract_y
_atom_site_fract_z
Y1 0.0000 0.0000 0.0000
Y2 0.0068 0.5000 0.7084
Y3 0.0195 0.5000 0.2938
Y4 0.2466 0.5000 0.6238
Cr1 0.2631 0.0000 0.3757
Cr2 0.4031 0.5000 0.4473
Cd1 0.2542 0.0000 0.9024
Cd2 0.2559 0.5000 0.1437
# * ρ: 5757 kg/m3
# * energy of formation: 103 meV/atom